Record 1
This record from Alexandria via LeMat-Bulk describes crystalline Si3W at its relaxed geometry. The functional is GGA-PBE.

As for the excess energy over the best structure of this formula in the dataset: 141 meV per atom. As for the calculated total energy: -7.169 eV/atom. Its space-group type is I4/mmm (139). The value obtained for the formation energy without anion corrections is 0.14 eV per atom. For the density of states at the Fermi level, the calculation gives 2.05 states/eV per cell.

Cell lengths 10.436, 10.436, 10.436 Å; angles 161.13, 161.13, 26.82 degrees
Fractional coordinates of all 8 atoms:
W (0.343, 0.343, 0.000)
W (0.657, 0.657, 0.000)
Si (0.250, 0.750, 0.500)
Si (0.500, 0.000, 0.500)
Si (0.750, 0.250, 0.500)
Si (0.105, 0.105, 0.000)
Si (0.000, 0.500, 0.500)
Si (0.895, 0.895, 0.000)

Record 2
This record from Alexandria via LeMat-Bulk describes crystalline Dy3Tm at its relaxed geometry. The functional is GGA-PBE.

As for the excess energy over the best structure of this formula in the dataset: 0 meV per atom. As for the calculated total energy: -4.565 eV/atom. Its space-group type is Pmm2 (25). For the density of states at the Fermi level, the calculation gives 6.37 states/eV per cell. The value obtained for the calculated formation energy is 0.005 eV per atom.

Cell lengths 3.603, 5.581, 6.239 Å; angles 90.00, 90.00, 90.00 degrees
Fractional coordinates of all 4 atoms:
Dy (0.500, 0.500, 0.834)
Dy (0.500, 0.000, 0.499)
Tm (0.000, 0.000, 0.000)
Dy (0.000, 0.500, 0.333)

Record 3
This record from Alexandria via LeMat-Bulk describes crystalline Pm3O4 at its relaxed geometry. The functional is GGA-PBE.

As for the calculated total energy: -7.884 eV/atom. Its space-group type is I-43d (220). The value obtained for the formation energy without anion corrections is -3.01 eV per atom. For the density of states at the Fermi level, the calculation gives 9.91 states/eV per cell.

Cell lengths 6.360, 6.360, 6.360 Å; angles 109.47, 109.47, 109.47 degrees
Last column: magnetic moment on the atom in μB.
Fractional coordinates of all 14 atoms:
Pm (0.750, 0.625, 0.375)  0.19
O (0.000, 0.000, 0.854)  0.01
O (0.646, 0.146, 0.146)  0.01
O (0.146, 0.646, 0.646)  0.01
O (0.500, 0.854, 0.500)  0.01
Pm (0.375, 0.125, 0.750)  0.19
O (0.354, 0.500, 0.000)  0.01
Pm (0.125, 0.375, 0.250)  0.19
Pm (0.625, 0.750, 0.875)  0.19
O (0.000, 0.000, 0.354)  0.01
O (0.500, 0.354, 0.500)  0.01
O (0.854, 0.500, 0.000)  0.01
Pm (0.875, 0.250, 0.625)  0.19
Pm (0.250, 0.875, 0.125)  0.19